[1]
Here is crystalline LiHfTiBr2 at its relaxed geometry from Alexandria. Energies are from GGA-PBE.

Results
total magnetization: 2.9 μB per formula unit

abc: 5.292 5.431 5.292
angles: 90.00 90.00 90.00
Each line ends with the local moment (μB).
Fractional coordinates of all 5 atoms:
Li 0.500 0.500 0.500  0.06
Hf 0.000 0.000 0.000  0.14
Br 0.000 0.000 0.500  0.05
Br 0.500 0.000 0.000  0.06
Ti 0.000 0.500 0.000  1.59

[2]
Here is crystalline ErSc3As3 at its relaxed geometry from Alexandria. Energies are from GGA-PBE.

Results
ΔE to the lowest computed polymorph: 0.0 meV per atom
total magnetization: 0.0 μB per formula unit
formation enthalpy at 0 K: -1.203 eV/atom

abc: 8.303 8.303 8.303
angles: 90.00 90.00 90.00
Fractional coordinates of all 28 atoms:
Er 0.068 0.568 0.932
Er 0.932 0.068 0.568
Er 0.432 0.432 0.432
Er 0.568 0.932 0.068
Sc 0.817 0.317 0.183
Sc 0.929 0.929 0.929
Sc 0.821 0.679 0.321
Sc 0.183 0.817 0.317
Sc 0.179 0.179 0.179
Sc 0.321 0.821 0.679
Sc 0.071 0.429 0.571
Sc 0.317 0.183 0.817
Sc 0.679 0.321 0.821
Sc 0.683 0.683 0.683
Sc 0.571 0.071 0.429
Sc 0.429 0.571 0.071
As 0.743 0.622 0.002
As 0.878 0.998 0.243
As 0.002 0.743 0.622
As 0.122 0.498 0.257
As 0.257 0.122 0.498
As 0.243 0.878 0.998
As 0.998 0.243 0.878
As 0.378 0.502 0.757
As 0.498 0.257 0.122
As 0.622 0.002 0.743
As 0.757 0.378 0.502
As 0.502 0.757 0.378

[3]
Here is crystalline Th2HgPt9 at its relaxed geometry from Alexandria. Energies are from GGA-PBE.

Results
ΔE to the lowest computed polymorph: 0.0 meV per atom
total magnetization: 0.0 μB per formula unit
formation enthalpy at 0 K: -0.751 eV/atom

abc: 4.200 4.200 12.443
angles: 90.00 90.00 90.00
Fractional coordinates of all 12 atoms:
Th 0.000 0.000 0.327
Th 0.000 0.000 0.673
Hg 0.000 0.000 0.000
Pt 0.500 0.500 0.000
Pt 0.500 0.500 0.330
Pt 0.500 0.500 0.670
Pt 0.500 0.000 0.162
Pt 0.500 0.000 0.500
Pt 0.500 0.000 0.838
Pt 0.000 0.500 0.162
Pt 0.000 0.500 0.500
Pt 0.000 0.500 0.838

[4]
Here is crystalline K4AcNd3O8 at its relaxed geometry from Alexandria. Energies are from GGA-PBE.

Results
total magnetization: 0.0 μB per formula unit

abc: 7.399 7.632 7.399
angles: 119.01 120.00 90.00
Fractional coordinates of all 16 atoms:
K 0.500 0.000 0.000
K 0.500 0.000 0.500
K 0.000 0.000 0.000
K 0.000 0.000 0.500
Ac 0.000 0.500 0.000
Nd 0.500 0.500 0.000
Nd 0.500 0.500 0.500
Nd 0.000 0.500 0.500
O 0.235 0.692 0.957
O 0.235 0.692 0.471
O 0.270 0.309 0.539
O 0.722 0.692 0.957
O 0.278 0.308 0.043
O 0.730 0.691 0.461
O 0.765 0.308 0.529
O 0.765 0.308 0.043

[5]
Here is crystalline Al2ZnNi at its relaxed geometry from Alexandria. Energies are from GGA-PBE.

Results
total magnetization: 0.0 μB per formula unit
formation enthalpy at 0 K: -0.282 eV/atom

abc: 6.197 6.197 6.197
angles: 155.59 141.79 45.87
Fractional coordinates of all 4 atoms:
Ni 0.507 0.507 0.000
Zn 0.310 0.810 0.500
Al 0.991 0.991 0.000
Al 0.691 0.191 0.500

[6]
Here is crystalline CaMoS2N at its relaxed geometry from Alexandria. Energies are from GGA-PBE.

Results
ΔE to the lowest computed polymorph: 1922.2 meV per atom
total magnetization: 5.8 μB per formula unit

abc: 5.226 5.226 4.316
angles: 90.00 90.00 90.00
Each line ends with the local moment (μB).
Fractional coordinates of all 5 atoms:
S 0.000 0.500 0.000  -0.12
S 0.500 0.000 0.000  -0.12
Mo 0.500 0.500 0.500  3.48
Ca 0.000 0.000 0.000  0.03
N 0.000 0.000 0.500  1.37

[7]
Here is crystalline OsC2Br at its relaxed geometry from Alexandria. Energies are from GGA-PBE.

Results
ΔE to the lowest computed polymorph: 0.0 meV per atom
total magnetization: 0.0 μB per formula unit

abc: 6.099 6.099 6.096
angles: 59.99 59.99 90.00
Fractional coordinates of all 8 atoms:
C 0.876 0.125 0.250
C 0.874 0.625 0.250
C 0.375 0.124 0.750
C 0.875 0.126 0.750
Os 0.000 0.000 0.000
Os 0.750 0.250 0.500
Br 0.500 0.500 0.000
Br 0.250 0.750 0.500

[8]
Here is crystalline AlRuSe3 at its relaxed geometry from Alexandria. Energies are from GGA-PBE.

Results
ΔE to the lowest computed polymorph: 0.0 meV per atom
total magnetization: 0.0 μB per formula unit

abc: 4.897 4.897 4.897
angles: 90.00 90.00 90.00
Fractional coordinates of all 5 atoms:
Ru 0.000 0.000 0.000
Al 0.500 0.500 0.500
Se 0.000 0.500 0.000
Se 0.000 0.000 0.500
Se 0.500 0.000 0.000

[9]
Here is crystalline Sr2DyPd4Pb3 at its relaxed geometry from Alexandria. Energies are from GGA-PBE.

Results
total magnetization: 0.0 μB per formula unit
formation enthalpy at 0 K: -0.575 eV/atom

abc: 4.739 4.739 11.511
angles: 90.00 90.00 90.00
Fractional coordinates of all 10 atoms:
Sr 0.500 0.000 0.226
Sr 0.000 0.500 0.774
Dy 0.500 0.500 0.500
Pd 0.500 0.500 0.000
Pd 0.000 0.000 0.000
Pd 0.500 0.000 0.641
Pd 0.000 0.500 0.359
Pb 0.000 0.000 0.500
Pb 0.500 0.000 0.877
Pb 0.000 0.500 0.123

[10]
Here is crystalline Hf2HPb at its relaxed geometry from Alexandria. Energies are from GGA-PBE.

Results
ΔE to the lowest computed polymorph: 163.7 meV per atom
total magnetization: 0.0 μB per formula unit

abc: 3.126 5.275 5.274
angles: 61.93 72.66 72.66
Fractional coordinates of all 4 atoms:
Hf 0.933 0.066 0.067
Hf 0.567 0.433 0.434
H 0.250 0.250 0.250
Pb 0.750 0.750 0.750

[11]
Here is crystalline Tl2CuHIr at its relaxed geometry from Alexandria. Energies are from GGA-PBE.

Results
total magnetization: 0.0 μB per formula unit

abc: 4.961 3.425 4.961
angles: 90.00 90.00 90.00
Fractional coordinates of all 5 atoms:
H 0.000 0.000 0.000
Tl 0.000 0.000 0.500
Tl 0.500 0.000 0.000
Ir 0.000 0.500 0.000
Cu 0.500 0.500 0.500

[12]
Here is crystalline LiIn3Au2 at its relaxed geometry from Alexandria. Energies are from GGA-PBE.

Results
total magnetization: 0.0 μB per formula unit
formation enthalpy at 0 K: -0.271 eV/atom

abc: 4.056 7.279 8.980
angles: 90.00 90.00 90.00
Fractional coordinates of all 12 atoms:
Li 0.500 0.533 0.572
Li 0.500 0.033 0.428
In 0.000 0.471 0.900
In 0.000 0.971 0.100
In 0.500 0.647 0.188
In 0.500 0.147 0.812
In 0.000 0.344 0.322
In 0.000 0.844 0.678
Au 0.500 0.763 0.890
Au 0.500 0.263 0.110
Au 0.000 0.242 0.611
Au 0.000 0.742 0.389

no.,raw total energy (eV per cell)
1,-21.6
2,-183.7
3,-78.5
4,-103.9
5,-15.7
6,-23.6
7,-52.2
8,-21.4
9,-45.6
10,-27.0
11,-18.6
12,-36.6